(1)
Zn3SeF, relaxed, DFT PBE-GGA; distance to the lowest polymorph of the same formula = 11 meV per atom; ΔE_f (raw) = -77.0 kJ per mole of atoms; final energy = -26.333 eV per cell
1.0
-4.5828 0.7582 0.0143
1.1684 -4.9261 -3.1815
0.0793 -1.4009 7.3910
Zn Se F
6 2 2
direct
0.2844 0.1860 0.6199
0.4173 0.5388 0.9474
0.2230 0.0911 0.2571
0.4876 0.8525 0.3984
0.9545 0.4491 0.6334
0.6443 0.1642 0.8849
0.8152 0.8255 0.6478
0.0825 0.4108 0.1816
0.7688 0.8136 0.1794
0.3465 0.9004 0.9950

(2)
LaLuPuIn, relaxed, DFT PBE-GGA; final energy = -26.648 eV per cell
1.0
5.5039 0.0000 0.0000
2.7520 4.7665 0.0000
2.7520 1.5888 4.4939
In Lu La Pu
1 1 1 1
direct
0.2500 0.2500 0.2500
0.7500 0.7500 0.7500
0.0000 0.0000 0.0000
0.5000 0.5000 0.5000

(3)
LiTbHg2, relaxed, DFT PBE-GGA; final energy = -8.733 eV per cell
1.0
3.4990 0.0000 0.0000
0.0000 5.1951 0.0000
0.0000 0.0000 5.1951
Tb Hg Li
1 2 1
direct
0.5000 0.5000 0.5000
0.0000 0.0000 0.5000
0.0000 0.5000 0.0000
0.5000 0.0000 0.0000

(4)
AlHPd3, relaxed, DFT PBE-GGA; distance to the lowest polymorph of the same formula = 237 meV per atom; final energy = -97.051 eV per cell
1.0
0.0000 5.2175 5.2175
5.2175 0.0000 5.2175
5.2175 5.2175 0.0000
H Al Pd
4 4 12
direct
0.1250 0.1250 0.1250
0.1250 0.6250 0.1250
0.6250 0.1250 0.1250
0.1250 0.1250 0.6250
0.6250 0.6250 0.6250
0.6250 0.1250 0.6250
0.1250 0.6250 0.6250
0.6250 0.6250 0.1250
0.7985 0.2015 0.2015
0.0485 0.4515 0.4515
0.4515 0.4515 0.0485
0.4515 0.0485 0.0485
0.0485 0.4515 0.0485
0.7985 0.2015 0.7985
0.4515 0.0485 0.4515
0.0485 0.0485 0.4515
0.2015 0.7985 0.2015
0.2015 0.7985 0.7985
0.2015 0.2015 0.7985
0.7985 0.7985 0.2015

(5)
Li2ReAu, relaxed, DFT PBE-GGA; distance to the lowest polymorph of the same formula = 211 meV per atom; final energy = -18.675 eV per cell
1.0
-1.9266 5.9380 -7.4896
-3.0946 3.6227 -8.5069
-4.5493 5.2878 -6.8125
Au Li Re
1 2 1
direct
0.7485 0.7485 0.7485
0.0057 0.0057 0.0057
0.2457 0.2457 0.2457
0.5001 0.5001 0.5001

(6)
PrHo2Ga2Hg2, relaxed, DFT PBE-GGA; final energy = -23.260 eV per cell
1.0
-3.9697 1.3359 2.0623
-1.9928 -2.7324 3.2186
2.9583 3.8494 8.4855
Pr Ho Ga Hg
1 2 2 2
direct
0.0000 0.0000 0.0000
0.1297 0.1297 0.6109
0.8703 0.8703 0.3891
0.7527 0.7527 0.7420
0.2473 0.2473 0.2580
0.5998 0.5998 0.2005
0.4002 0.4002 0.7995

(7)
Ca2TlVCl8, relaxed, DFT PBE-GGA; ΔE_f (raw) = -164.6 kJ per mole of atoms; final energy = -50.735 eV per cell
1.0
-0.3185 -6.3514 0.9432
0.6145 -1.0333 -6.0344
8.4899 -0.2922 0.9110
Ca Tl V Cl
2 1 1 8
direct
0.5000 0.5000 0.7561
0.5000 0.5000 0.2439
0.0000 0.0000 0.5000
0.0000 0.0000 0.0000
0.1572 0.7776 0.1963
0.6916 0.7513 0.9999
0.8425 0.2221 0.1962
0.8428 0.2224 0.8037
0.3084 0.2487 0.0001
0.1575 0.7779 0.8038
0.6200 0.7282 0.4999
0.3800 0.2718 0.5001

(8)
Ba5Sr2Ga4, relaxed, DFT PBE-GGA; final energy = -26.646 eV per cell
1.0
-0.6504 -7.1273 1.4166
0.5432 -2.1914 8.0111
-8.2770 -1.8518 5.6702
Ba Sr Ga
5 2 4
direct
0.1462 0.2823 0.9347
0.8538 0.7177 0.0653
0.0000 0.5000 0.5000
0.6368 0.2823 0.9347
0.3632 0.7177 0.0653
0.2520 0.8797 0.6162
0.7480 0.1203 0.3838
0.4067 0.9335 0.2530
0.5933 0.0665 0.7470
0.7649 0.7256 0.7445
0.2351 0.2744 0.2555

(9)
TbNdMgPt, relaxed, DFT PBE-GGA; final energy = -19.158 eV per cell
1.0
-2.6294 3.3929 2.9063
-3.2527 -1.6975 3.6620
1.1964 0.5971 5.0084
Nd Mg Tb Pt
1 1 1 1
direct
0.0000 0.0000 0.0000
0.2500 0.2500 0.2500
0.5000 0.5000 0.5000
0.7500 0.7500 0.7500

(10)
ZnGa6Ag8, relaxed, DFT PBE-GGA; final energy = -41.858 eV per cell
1.0
6.8364 1.8066 1.8658
1.5926 6.8894 1.8658
1.5926 1.6430 6.9459
Zn Ga Ag
1 6 8
direct
0.0000 0.0000 0.0000
0.5523 0.4171 0.8498
0.4171 0.8498 0.5523
0.8498 0.5523 0.4171
0.4477 0.5829 0.1502
0.5829 0.1502 0.4477
0.1502 0.4477 0.5829
0.7412 0.7412 0.7412
0.2588 0.2588 0.2588
0.6548 0.8566 0.1173
0.8566 0.1173 0.6548
0.1173 0.6548 0.8566
0.3452 0.1434 0.8827
0.1434 0.8827 0.3452
0.8827 0.3452 0.1434

(11)
Pr2YGa2, relaxed, DFT PBE-GGA; distance to the lowest polymorph of the same formula = 42 meV per atom; final energy = -48.805 eV per cell
1.0
-1.1604 -2.2024 4.0409
-3.7025 -5.2575 -1.1414
7.1060 -6.8336 1.1033
Pr Y Ga
4 2 4
direct
0.3098 0.2792 0.1012
0.4767 0.3614 0.6852
0.6902 0.7208 0.8988
0.5233 0.6386 0.3148
0.7947 0.0542 0.3565
0.2053 0.9458 0.6435
0.9579 0.1722 0.9119
0.1254 0.3224 0.4268
0.0421 0.8278 0.0881
0.8746 0.6776 0.5732

(12)
BeNi2Au, relaxed, DFT PBE-GGA; final energy = -18.710 eV per cell
1.0
-3.9186 1.7222 2.0498
-2.0021 1.1972 4.1329
0.0479 4.0443 0.9751
Ni Au Be
2 1 1
direct
0.0309 0.0309 0.9766
0.2560 0.2560 0.2482
0.4743 0.4743 0.5334
0.7389 0.7389 0.7419

> What is the formula in the eleventh record?

Pr2YGa2

> Which of these has the highest final energy?

LiTbHg2

Repeat the ninth record exactly.
TbNdMgPt, relaxed, DFT PBE-GGA; final energy = -19.158 eV per cell
1.0
-2.6294 3.3929 2.9063
-3.2527 -1.6975 3.6620
1.1964 0.5971 5.0084
Nd Mg Tb Pt
1 1 1 1
direct
0.0000 0.0000 0.0000
0.2500 0.2500 0.2500
0.5000 0.5000 0.5000
0.7500 0.7500 0.7500